# Be2SbPd PBE relaxed
# ΔE_f (raw), kJ/mol of formula units: 125.6
data_Be2SbPd
_chemical_formula_sum 'Be8 Sb4 Pd4'
_cell_length_a 6.665
_cell_length_b 6.665
_cell_length_c 5.668
_cell_angle_alpha 90.00
_cell_angle_beta 90.00
_cell_angle_gamma 90.00
_symmetry_space_group_name_H-M 'I -4 2 d'
_symmetry_Int_Tables_number 122
_symmetry_space_group_name_Hall 'I -4 2bw'
loop_
_atom_site_label
_atom_site_fract_x
_atom_site_fract_y
_atom_site_fract_z
Be1 0.218 0.250 0.125
Sb1 0.000 0.000 0.500
Pd1 0.000 0.000 0.000

***

# SrTl2Cr PBE relaxed
# Calculated formation energy, eV/atom: 0.251
data_SrTl2Cr
_chemical_formula_sum 'Sr4 Tl8 Cr4'
_cell_length_a 7.671
_cell_length_b 7.671
_cell_length_c 7.671
_cell_angle_alpha 90.00
_cell_angle_beta 90.00
_cell_angle_gamma 90.00
_symmetry_space_group_name_H-M 'F -4 3 m'
_symmetry_Int_Tables_number 216
_symmetry_space_group_name_Hall 'F -4 2 3'
loop_
_atom_site_label
_atom_site_fract_x
_atom_site_fract_y
_atom_site_fract_z
Sr1 0.000 0.000 0.000
Tl1 0.000 0.000 0.500
Tl2 0.250 0.250 0.250
Cr1 0.250 0.250 0.750

***

# CsInTeBr2 PBE relaxed
# ΔE_f (raw), kJ/mol of formula units: -414.0
data_CsInTeBr2
_chemical_formula_sum 'Cs1 In1 Te1 Br2'
_cell_length_a 5.791
_cell_length_b 5.791
_cell_length_c 5.720
_cell_angle_alpha 90.00
_cell_angle_beta 90.00
_cell_angle_gamma 90.00
_symmetry_space_group_name_H-M 'P 4/m m m'
_symmetry_Int_Tables_number 123
_symmetry_space_group_name_Hall '-P 4 2'
loop_
_atom_site_label
_atom_site_fract_x
_atom_site_fract_y
_atom_site_fract_z
Cs1 0.000 0.000 0.000
In1 0.500 0.500 0.500
Te1 0.500 0.500 0.000
Br1 0.000 0.500 0.500

***

# Mg2ZrRe PBE relaxed
# Calculated formation energy, eV/atom: 0.234
# Offset from the most stable computed form, meV/atom: 133
data_Mg2ZrRe
_chemical_formula_sum 'Mg4 Zr2 Re2'
_cell_length_a 9.706
_cell_length_b 2.834
_cell_length_c 5.518
_cell_angle_alpha 90.00
_cell_angle_beta 95.54
_cell_angle_gamma 90.00
_symmetry_space_group_name_H-M 'C 1 m 1'
_symmetry_Int_Tables_number 8
_symmetry_space_group_name_Hall 'C -2y'
loop_
_atom_site_label
_atom_site_fract_x
_atom_site_fract_y
_atom_site_fract_z
Mg1 0.000 0.000 0.000
Mg2 0.245 0.000 0.767
Zr1 0.258 0.500 0.294
Re1 0.008 0.500 0.504